#a
Density functional theory data (PBEsol) for InRe2Te after structural relaxation.

abc: 4.6428 4.6428 5.4114
angles: 100.24 100.24 38.22
Fractional positions:
In  0.0000  0.0000  0.0000
Re  0.2533  0.2533  0.7234
Re  0.7467  0.7467  0.2766
Te  0.5000  0.5000  0.5000

Results
Total magnetization   0.0 μB per cell

#b
Density functional theory data (PBEsol) for InRe2Te after structural relaxation.

abc: 3.0043 3.0043 8.4178
angles: 90.00 90.00 90.00
Fractional positions:
In  0.0000  0.0000  0.0000
Re  0.0000  0.0000  0.4211
Re  0.5000  0.5000  0.2383
Te  0.5000  0.5000  0.6593

Results
Total magnetization   0.0 μB per cell

Last place for stability: #a

#a
Density functional theory data (PBEsol) for YIn2Re after structural relaxation.

abc: 3.0099 4.7246 5.9047
angles: 90.00 103.77 90.00
Fractional positions:
Y  0.0000  0.0000  0.0000
In  0.3452  0.5000  0.7314
In  0.6548  0.5000  0.2686
Re  0.5000  0.0000  0.5000

Results
Total magnetization   0.0 μB per cell

#b
Density functional theory data (PBEsol) for YIn2Re after structural relaxation.

abc: 9.7073 9.7073 9.7073
angles: 19.38 19.38 19.38
Fractional positions:
Y  0.0000  0.0000  0.0000
In  0.2358  0.2358  0.2358
In  0.4787  0.4787  0.4787
Re  0.7390  0.7390  0.7390

Results
Total magnetization   0.0 μB per cell

#c
Density functional theory data (PBEsol) for YIn2Re after structural relaxation.

abc: 5.1535 5.1535 5.0255
angles: 107.71 107.71 41.51
Fractional positions:
Y  0.0000  0.0000  0.0000
In  0.2322  0.2322  0.7064
In  0.7678  0.7678  0.2936
Re  0.5000  0.5000  0.5000

Results
Total magnetization   0.0 μB per cell

Last place for stability: #b

#a
Density functional theory data (PBEsol) for ZrIn2Re after structural relaxation.

abc: 5.4580 5.4580 5.4580
angles: 141.66 129.33 65.28
Fractional positions:
Zr  0.0000  0.0000  0.0000
In  0.2685  0.7685  0.5000
In  0.5332  0.5332  0.0000
Re  0.7805  0.2805  0.5000

Results
Total magnetization   0.0 μB per cell

#b
Density functional theory data (PBEsol) for ZrIn2Re after structural relaxation.

abc: 4.7112 4.7112 4.7112
angles: 60.00 60.00 60.00
Fractional positions:
Zr  0.0000  0.0000  0.0000
In  0.2500  0.2500  0.2500
In  0.7500  0.7500  0.7500
Re  0.5000  0.5000  0.5000

Results
Total magnetization   0.0 μB per cell

Last place for stability: #b

#a
Density functional theory data (PBEsol) for ZrIn2Re after structural relaxation.

abc: 5.1973 5.1973 4.7705
angles: 106.16 106.16 38.49
Fractional positions:
Zr  0.0000  0.0000  0.0000
In  0.2381  0.2381  0.7307
In  0.7619  0.7619  0.2693
Re  0.5000  0.5000  0.5000

Results
Total magnetization   0.0 μB per cell

#b
Density functional theory data (PBEsol) for ZrIn2Re after structural relaxation.

abc: 3.0318 3.0318 9.4903
angles: 90.00 90.00 112.34
Fractional positions:
Zr  0.0000  0.0000  0.0000
In  0.0000  0.0000  0.4483
In  0.5000  0.5000  0.7308
Re  0.5000  0.5000  0.2124

Results
Total magnetization   0.0 μB per cell

Last place for stability: #b

#a
Density functional theory data (PBEsol) for Ta2InRh2 after structural relaxation.

abc: 7.5787 7.5787 2.9258
angles: 90.00 90.00 90.00
Fractional positions:
Ta  0.1640  0.3360  0.0000
Ta  0.3360  0.8360  0.0000
Ta  0.6640  0.1640  0.0000
Ta  0.8360  0.6640  0.0000
In  0.0000  0.0000  0.5000
In  0.5000  0.5000  0.5000
Rh  0.1291  0.6291  0.5000
Rh  0.3709  0.1291  0.5000
Rh  0.6291  0.8709  0.5000
Rh  0.8709  0.3709  0.5000

Results
Total magnetization   0.0 μB per cell

#b
Density functional theory data (PBEsol) for Ta2InRh2 after structural relaxation.

abc: 5.9703 5.9703 5.9703
angles: 137.78 137.78 61.25
Fractional positions:
Ta  0.2500  0.7500  0.5000
Ta  0.7500  0.2500  0.5000
In  0.0000  0.0000  0.0000
Rh  0.3794  0.3794  0.0000
Rh  0.6206  0.6206  0.0000

Results
Total magnetization   0.0 μB per cell

Last place for stability: #b

#a
Density functional theory data (PBEsol) for In2RhW after structural relaxation.

abc: 2.9139 2.9139 8.0114
angles: 90.00 90.00 90.00
Fractional positions:
In  0.0000  0.0000  0.2296
In  0.0000  0.0000  0.7704
Rh  0.5000  0.5000  0.0000
W  0.5000  0.5000  0.5000

Results
Total magnetization   0.0 μB per cell

#b
Density functional theory data (PBEsol) for In2RhW after structural relaxation.

abc: 9.1952 9.1952 9.1952
angles: 18.57 18.57 18.57
Fractional positions:
In  0.2456  0.2456  0.2456
In  0.7544  0.7544  0.7544
Rh  0.5000  0.5000  0.5000
W  0.0000  0.0000  0.0000

Results
Total magnetization   0.0 μB per cell

#c
Density functional theory data (PBEsol) for In2RhW after structural relaxation.

abc: 5.3164 5.3164 2.8653
angles: 101.47 101.47 113.21
Fractional positions:
In  0.0000  0.5000  0.0000
In  0.5000  0.0000  0.0000
Rh  0.0000  0.0000  0.5000
W  0.5000  0.5000  0.5000

Results
Total magnetization   0.0 μB per cell

Last place for stability: #c

#a
Density functional theory data (PBEsol) for In2RhW after structural relaxation.

abc: 4.5976 4.5976 4.5976
angles: 60.00 60.00 60.00
Fractional positions:
In  0.2500  0.2500  0.2500
In  0.7500  0.7500  0.7500
Rh  0.0000  0.0000  0.0000
W  0.5000  0.5000  0.5000

Results
Total magnetization   1.7 μB per cell

#b
Density functional theory data (PBEsol) for In2RhW after structural relaxation.

abc: 9.5626 9.5626 9.5626
angles: 17.84 17.84 17.84
Fractional positions:
In  0.0000  0.0000  0.0000
In  0.2353  0.2353  0.2353
Rh  0.4891  0.4891  0.4891
W  0.7520  0.7520  0.7520

Results
Total magnetization   0.0 μB per cell

Last place for stability: #a

#a
Density functional theory data (PBEsol) for TaIn2Ru after structural relaxation.

abc: 3.1100 4.7043 4.9003
angles: 90.00 90.00 90.00
Fractional positions:
Ta  0.0000  0.0000  0.0000
In  0.0000  0.5000  0.5000
In  0.5000  0.5000  0.0000
Ru  0.5000  0.0000  0.5000

Results
Total magnetization   0.0 μB per cell

#b
Density functional theory data (PBEsol) for TaIn2Ru after structural relaxation.

abc: 4.7477 4.7477 3.1174
angles: 90.00 90.00 90.00
Fractional positions:
Ta  0.0000  0.0000  0.0000
In  0.0000  0.5000  0.5000
In  0.5000  0.0000  0.5000
Ru  0.5000  0.5000  0.0000

Results
Total magnetization   0.0 μB per cell

Last place for stability: #b

#a
Density functional theory data (PBEsol) for TaIn2Ru after structural relaxation.

abc: 3.0555 3.0555 8.1506
angles: 90.00 90.00 90.00
Fractional positions:
Ta  0.0000  0.0000  0.0000
In  0.0000  0.0000  0.5874
In  0.5000  0.5000  0.2603
Ru  0.5000  0.5000  0.8190

Results
Total magnetization   0.0 μB per cell

#b
Density functional theory data (PBEsol) for TaIn2Ru after structural relaxation.

abc: 5.5728 5.5728 5.5728
angles: 148.15 127.29 62.91
Fractional positions:
Ta  0.0000  0.0000  0.0000
In  0.2654  0.7654  0.5000
In  0.7346  0.2346  0.5000
Ru  0.5000  0.5000  0.0000

Results
Total magnetization   0.0 μB per cell

Last place for stability: #b

#a
Density functional theory data (PBEsol) for TlIn2Ru after structural relaxation.

abc: 5.0391 5.0391 3.3311
angles: 90.00 90.00 110.42
Fractional positions:
Tl  0.0000  0.0000  0.0000
In  0.0000  0.5000  0.5000
In  0.5000  0.0000  0.5000
Ru  0.5000  0.5000  0.0000

Results
Total magnetization   0.0 μB per cell

#b
Density functional theory data (PBEsol) for TlIn2Ru after structural relaxation.

abc: 4.8531 4.8531 4.8531
angles: 60.00 60.00 60.00
Fractional positions:
Tl  0.0000  0.0000  0.0000
In  0.5000  0.5000  0.5000
In  0.7500  0.7500  0.7500
Ru  0.2500  0.2500  0.2500

Results
Total magnetization   0.0 μB per cell

Last place for stability: #b

#a
Density functional theory data (PBEsol) for InRu2W after structural relaxation.

abc: 4.5417 4.5417 4.5417
angles: 124.56 124.56 82.26
Fractional positions:
In  0.0000  0.0000  0.0000
Ru  0.2500  0.7500  0.5000
Ru  0.7500  0.2500  0.5000
W  0.5000  0.5000  0.0000

Results
Total magnetization   0.0 μB per cell

#b
Density functional theory data (PBEsol) for InRu2W after structural relaxation.

abc: 2.9536 3.3153 6.2855
angles: 90.00 90.00 90.00
Fractional positions:
In  0.0000  0.0000  0.0000
Ru  0.5000  0.5000  0.2670
Ru  0.5000  0.5000  0.7330
W  0.0000  0.0000  0.5000

Results
Total magnetization   0.0 μB per cell

Last place for stability: #a

#a
Density functional theory data (PBEsol) for InSbS3 after structural relaxation.

abc: 9.2645 3.8284 12.9869
angles: 90.00 90.00 90.00
Fractional positions:
In  0.1551  0.2500  0.0438
In  0.3449  0.7500  0.5438
In  0.6551  0.2500  0.4562
In  0.8449  0.7500  0.9562
Sb  0.0197  0.2500  0.6499
Sb  0.4803  0.7500  0.1499
Sb  0.5197  0.2500  0.8501
Sb  0.9803  0.7500  0.3501
S  0.0013  0.7500  0.1185
S  0.1562  0.2500  0.4789
S  0.1873  0.7500  0.7087
S  0.3127  0.2500  0.2087
S  0.3438  0.7500  0.9789
S  0.4987  0.2500  0.6185
S  0.5013  0.7500  0.3815
S  0.6562  0.2500  0.0211
S  0.6873  0.7500  0.7913
S  0.8127  0.2500  0.2913
S  0.8438  0.7500  0.5211
S  0.9987  0.2500  0.8815

Results
Total magnetization   0.0 μB per cell

#b
Density functional theory data (PBEsol) for InSbS3 after structural relaxation.

abc: 4.8864 4.8864 4.8864
angles: 90.00 90.00 90.00
Fractional positions:
In  0.0000  0.0000  0.0000
Sb  0.5000  0.5000  0.5000
S  0.0000  0.0000  0.5000
S  0.0000  0.5000  0.0000
S  0.5000  0.0000  0.0000

Results
Total magnetization   0.0 μB per cell

Last place for stability: #b